[1]
First-principles (PBE-GGA) data for a relaxed structure of LiTcRu2, as listed in Alexandria via LeMat-Bulk.

Output
Symmetry: P2/m, No. 10
Fermi-level density of states, states/eV/f.u.: 3.83
Electronic total energy, eV/atom: -7.498
ΔE to the lowest computed polymorph, meV per atom: 111

Cell: 4.017 2.669 5.133 Å, 76.83 90.00 90.00°
Element x y z (fractional)
Ru1 0.000 0.562 0.516
Ru2 0.000 0.938 0.984
Li1 0.500 0.750 0.750
Tc1 0.500 0.250 0.250

=====

[2]
First-principles (PBE-GGA) data for a relaxed structure of CaY2O4, as listed in Alexandria via LeMat-Bulk.

Output
Symmetry: Pnma, No. 62
Fermi-level density of states, states/eV/f.u.: 0.00
Raw formation energy, meV/atom: -3315
Electronic total energy, eV/atom: -8.281
ΔE to the lowest computed polymorph, meV per atom: 29

Cell: 3.393 9.920 11.856 Å, 90.00 90.00 90.00°
Element x y z (fractional)
Ca1 0.750 0.243 0.646
Ca2 0.750 0.743 0.854
Ca3 0.250 0.757 0.354
Ca4 0.250 0.257 0.146
Y1 0.250 0.926 0.613
Y2 0.750 0.574 0.113
Y3 0.250 0.418 0.388
Y4 0.250 0.426 0.887
Y5 0.750 0.582 0.612
Y6 0.750 0.074 0.387
Y7 0.750 0.082 0.888
Y8 0.250 0.918 0.112
O1 0.750 0.784 0.185
O2 0.250 0.997 0.289
O3 0.250 0.635 0.981
O4 0.750 0.365 0.019
O5 0.750 0.865 0.481
O6 0.250 0.497 0.211
O7 0.750 0.577 0.418
O8 0.750 0.503 0.789
O9 0.750 0.077 0.082
O10 0.250 0.216 0.815
O11 0.750 0.003 0.711
O12 0.250 0.716 0.685
O13 0.250 0.135 0.519
O14 0.250 0.923 0.918
O15 0.250 0.423 0.582
O16 0.750 0.284 0.315